No. 1
VASP calculation (GGA-PBE) on a relaxed PrErO3 crystal.

**Theoretical density**: 7.430 g/cm³
**Electronic total energy**: -40.37 eV for the cell shown
**SG**: P4mm, No. 99

Cell lengths 4.0603, 4.0603, 4.8286 Å; angles 90.00, 90.00, 90.00 degrees
Closest atoms and distances in Å follow each position.
Fractional positions:
Pr  0.0000  0.0000  0.0000  4 O 2.40
Er  0.5000  0.5000  0.5905  5 O 2.10-2.15
O  0.0000  0.5000  0.7352  2 Er 2.15, 2 Pr 2.40
O  0.5000  0.0000  0.7352  2 Er 2.15, 2 Pr 2.40
O  0.5000  0.5000  0.1555  1 Er 2.10

***

No. 2
VASP calculation (GGA-PBE) on a relaxed IrPd2W crystal.

**Theoretical density**: 16.331 g/cm³
**Polymorph energy (0 for the lowest one)**: 0.0000 eV/atom
**Electronic total energy**: -65.08 eV for the cell shown
**ΔE_f**: -0.093 eV/atom
**SG**: Amm2, No. 38

Cell lengths 4.5162, 5.5133, 5.5133 Å; angles 60.73, 90.00, 90.00 degrees
Closest atoms and distances in Å follow each position.
Fractional positions:
Ir  0.0000  0.2446  0.7554  6 Pd 2.72-2.82, 2 Ir 2.73-2.85, 4 W 2.73-2.78
Ir  0.0000  0.7554  0.2446  6 Pd 2.72-2.82, 2 Ir 2.73-2.85, 4 W 2.73-2.78
Pd  0.0000  0.7529  0.7529  4 Ir 2.72-2.80, 4 Pd 2.76, 4 W 2.79-2.80
Pd  0.5000  0.4230  0.4230  4 Pd 2.70-2.81, 4 Ir 2.77, 4 W 2.77-2.79
Pd  0.5000  0.4243  0.9320  6 Pd 2.70-2.83, 4 W 2.74-2.76, 2 Ir 2.82
Pd  0.5000  0.9320  0.4243  6 Pd 2.70-2.83, 4 W 2.74-2.76, 2 Ir 2.82
W  0.0000  0.2543  0.2543  4 Ir 2.74-2.78, 8 Pd 2.74-2.79
W  0.5000  0.9272  0.9272  4 Ir 2.73, 8 Pd 2.75-2.80

***

Please write out number 2 again, unchanged.
VASP calculation (GGA-PBE) on a relaxed IrPd2W crystal.

**Theoretical density**: 16.331 g/cm³
**Polymorph energy (0 for the lowest one)**: 0.0000 eV/atom
**Electronic total energy**: -65.08 eV for the cell shown
**ΔE_f**: -0.093 eV/atom
**SG**: Amm2, No. 38

Cell lengths 4.5162, 5.5133, 5.5133 Å; angles 60.73, 90.00, 90.00 degrees
Closest atoms and distances in Å follow each position.
Fractional positions:
Ir  0.0000  0.2446  0.7554  6 Pd 2.72-2.82, 2 Ir 2.73-2.85, 4 W 2.73-2.78
Ir  0.0000  0.7554  0.2446  6 Pd 2.72-2.82, 2 Ir 2.73-2.85, 4 W 2.73-2.78
Pd  0.0000  0.7529  0.7529  4 Ir 2.72-2.80, 4 Pd 2.76, 4 W 2.79-2.80
Pd  0.5000  0.4230  0.4230  4 Pd 2.70-2.81, 4 Ir 2.77, 4 W 2.77-2.79
Pd  0.5000  0.4243  0.9320  6 Pd 2.70-2.83, 4 W 2.74-2.76, 2 Ir 2.82
Pd  0.5000  0.9320  0.4243  6 Pd 2.70-2.83, 4 W 2.74-2.76, 2 Ir 2.82
W  0.0000  0.2543  0.2543  4 Ir 2.74-2.78, 8 Pd 2.74-2.79
W  0.5000  0.9272  0.9272  4 Ir 2.73, 8 Pd 2.75-2.80